(1)
The following is a PBE calculation of an optimized crystal structure of LiPuSeO, from the Alexandria database.

Results
Raw formation energy in eV per atom: -2.08
Fermi-level density of states in states/eV/cell: 11.56
Space group: P4/nmm, No. 129

Cell: 3.970 3.970 8.959 Å, 90.00 90.00 90.00°
Fractional positions:
Li 0.000 0.000 0.000
Li 0.500 0.500 0.000
Pu 0.500 0.000 0.632
Pu 0.000 0.500 0.368
O 0.500 0.500 0.500
O 0.000 0.000 0.500
Se 0.500 0.000 0.179
Se 0.000 0.500 0.821

(2)
The following is a PBE calculation of an optimized crystal structure of LiPuSeO5, from the Alexandria database.

Results
Raw formation energy in eV per atom: -1.83
Fermi-level density of states in states/eV/cell: 6.27
Space group: C2/c, No. 15

Cell: 6.133 6.133 8.129 Å, 104.80 104.80 100.78°
Fractional positions:
Se 0.398 0.602 0.750
Se 0.602 0.398 0.250
O 0.351 0.315 0.626
O 0.834 0.211 0.566
O 0.315 0.351 0.126
O 0.942 0.058 0.250
O 0.058 0.942 0.750
O 0.649 0.685 0.374
O 0.166 0.789 0.434
O 0.211 0.834 0.066
O 0.789 0.166 0.934
O 0.685 0.649 0.874
Pu 0.000 0.000 0.000
Pu 0.000 0.000 0.500
Li 0.693 0.307 0.750
Li 0.307 0.693 0.250

(3)
The following is a PBE calculation of an optimized crystal structure of LiPuSe2O8, from the Alexandria database.

Results
Raw formation energy in eV per atom: -1.34
Fermi-level density of states in states/eV/cell: 13.13
Space group: I-4m2, No. 119

Cell: 6.047 6.047 6.047 Å, 106.29 106.29 116.04°
Fractional positions:
Pu 0.250 0.750 0.500
O 0.763 0.083 0.680
O 0.335 0.154 0.819
O 0.483 0.665 0.819
O 0.917 0.237 0.320
O 0.335 0.517 0.181
O 0.917 0.596 0.680
O 0.846 0.665 0.181
O 0.404 0.083 0.320
Se 0.500 0.500 0.000
Se 0.750 0.250 0.500
Li 0.000 0.000 0.000

(4)
The following is a PBE calculation of an optimized crystal structure of Li2PuSeO8, from the Alexandria database.

Results
Raw formation energy in eV per atom: -1.34
Fermi-level density of states in states/eV/cell: 0.30
Space group: I-4m2, No. 119

Cell: 5.929 5.929 5.929 Å, 116.02 116.02 97.05°
Fractional positions:
O 0.952 0.666 0.714
O 0.330 0.576 0.247
O 0.917 0.670 0.247
O 0.424 0.670 0.753
O 0.330 0.083 0.753
O 0.334 0.048 0.286
O 0.952 0.238 0.286
O 0.762 0.048 0.714
Se 0.250 0.750 0.500
Li 0.750 0.250 0.500
Li 0.500 0.500 0.000
Pu 0.000 0.000 0.000